## Y3Pb (PBE-GGA)

Data for crystalline Y3Pb at its relaxed geometry.

abc: 6.009 6.009 3.562
angles: 90.00 90.00 109.93
Element x y z (fractional)
1 Y 0.000 0.000 0.000
2 Y 0.000 0.500 0.500
3 Y 0.500 0.000 0.500
4 Pb 0.500 0.500 0.000

As for the density of states at the Fermi level: 1.66 states/eV per atom. Its formation energy is -0.178 eV/atom. Its total magnetization is 0.000 μB/f.u.

=====

## Y3Pb (PBE-GGA)

Data for crystalline Y3Pb at its relaxed geometry.

abc: 6.608 6.608 6.608
angles: 148.28 63.38 126.69
Element x y z (fractional)
1 Y 0.000 0.000 0.000
2 Y 0.139 0.370 0.769
3 Y 0.601 0.370 0.231
4 Pb 0.530 0.030 0.500

As for the density of states at the Fermi level: 0.97 states/eV per atom. Its formation energy is -0.260 eV/atom. Its total magnetization is 0.000 μB/f.u.

=====

## YPb3 (PBE-GGA)

Data for crystalline YPb3 at its relaxed geometry.

abc: 6.662 11.291 6.372
angles: 90.00 90.00 90.00
Element x y z (fractional)
1 Y 0.128 0.250 0.033
2 Y 0.372 0.750 0.533
3 Y 0.628 0.250 0.467
4 Y 0.872 0.750 0.967
5 Pb 0.121 0.250 0.534
6 Pb 0.160 0.515 0.779
7 Pb 0.160 0.985 0.779
8 Pb 0.340 0.015 0.279
9 Pb 0.340 0.485 0.279
10 Pb 0.379 0.750 0.034
11 Pb 0.621 0.250 0.966
12 Pb 0.660 0.515 0.721
13 Pb 0.660 0.985 0.721
14 Pb 0.840 0.015 0.221
15 Pb 0.840 0.485 0.221
16 Pb 0.879 0.750 0.466

As for the density of states at the Fermi level: 0.38 states/eV per atom. Its formation energy is -0.255 eV/atom. Its total magnetization is 0.000 μB/f.u.

=====

## Y5Pb2 (PBE-GGA)

Data for crystalline Y5Pb2 at its relaxed geometry.

abc: 8.722 8.722 8.487
angles: 96.46 96.46 43.07
Element x y z (fractional)
1 Y 0.130 0.315 0.315
2 Y 0.159 0.841 0.750
3 Y 0.261 0.537 0.068
4 Y 0.315 0.130 0.815
5 Y 0.463 0.739 0.432
6 Y 0.537 0.261 0.568
7 Y 0.685 0.870 0.185
8 Y 0.739 0.463 0.932
9 Y 0.841 0.159 0.250
10 Y 0.870 0.685 0.685
11 Pb 0.081 0.719 0.417
12 Pb 0.281 0.919 0.083
13 Pb 0.719 0.081 0.917
14 Pb 0.919 0.281 0.583

As for the density of states at the Fermi level: 1.10 states/eV per atom. Its formation energy is -0.338 eV/atom. Its total magnetization is 0.178 μB/f.u.

=====

## Y3Pb (PBE-GGA)

Data for crystalline Y3Pb at its relaxed geometry.

abc: 3.615 3.615 11.044
angles: 90.00 90.00 120.00
Element x y z (fractional)
1 Y 0.000 0.000 0.000
2 Y 0.667 0.333 0.261
3 Y 0.667 0.333 0.739
4 Pb 0.000 0.000 0.500

As for the density of states at the Fermi level: 1.08 states/eV per atom. Its formation energy is -0.181 eV/atom. Its total magnetization is 0.558 μB/f.u.

=====

## Y2Pb3 (PBE-GGA)

Data for crystalline Y2Pb3 at its relaxed geometry.

abc: 12.258 4.389 11.148
angles: 90.00 90.00 90.00
Element x y z (fractional)
1 Y 0.013 0.250 0.242
2 Y 0.224 0.250 0.583
3 Y 0.276 0.750 0.083
4 Y 0.487 0.750 0.742
5 Y 0.513 0.250 0.258
6 Y 0.724 0.250 0.917
7 Y 0.776 0.750 0.417
8 Y 0.987 0.750 0.758
9 Pb 0.078 0.750 0.440
10 Pb 0.097 0.250 0.946
11 Pb 0.239 0.750 0.796
12 Pb 0.261 0.250 0.296
13 Pb 0.403 0.750 0.446
14 Pb 0.422 0.250 0.940
15 Pb 0.578 0.750 0.060
16 Pb 0.597 0.250 0.554
17 Pb 0.739 0.750 0.704
18 Pb 0.761 0.250 0.204
19 Pb 0.903 0.750 0.054
20 Pb 0.922 0.250 0.560

As for the density of states at the Fermi level: 0.59 states/eV per atom. The relative energy among the computed polymorphs comes out at 56 meV per atom. Its formation energy is -0.353 eV/atom. Its total magnetization is 0.000 μB/f.u.

=====

## Y3Pb (PBE-GGA)

Data for crystalline Y3Pb at its relaxed geometry.

abc: 3.571 5.532 6.078
angles: 90.00 90.00 90.00
Element x y z (fractional)
1 Y 0.000 0.000 0.000
2 Y 0.000 0.500 0.352
3 Y 0.500 0.000 0.515
4 Pb 0.500 0.500 0.838

As for the density of states at the Fermi level: 1.09 states/eV per atom. Its formation energy is -0.208 eV/atom. Its total magnetization is 0.000 μB/f.u.

=====

## YPb3 (PBE-GGA)

Data for crystalline YPb3 at its relaxed geometry.

abc: 6.295 6.295 5.450
angles: 109.80 109.80 35.86
Element x y z (fractional)
1 Y 0.000 0.000 0.000
2 Pb 0.251 0.251 0.749
3 Pb 0.500 0.500 0.500
4 Pb 0.749 0.749 0.251

As for the density of states at the Fermi level: 0.71 states/eV per atom. Its formation energy is -0.218 eV/atom. Its total magnetization is 0.000 μB/f.u.

=====

## Y3Pb (PBE-GGA)

Data for crystalline Y3Pb at its relaxed geometry.

abc: 3.658 3.658 9.218
angles: 90.00 90.00 90.00
Element x y z (fractional)
1 Y 0.000 0.000 0.000
2 Y 0.500 0.500 0.267
3 Y 0.500 0.500 0.733
4 Pb 0.000 0.000 0.500

As for the density of states at the Fermi level: 1.11 states/eV per atom. Its formation energy is -0.225 eV/atom. Its total magnetization is 0.000 μB/f.u.

=====

## Y2Pb (PBE-GGA)

Data for crystalline Y2Pb at its relaxed geometry.

abc: 4.967 4.967 4.100
angles: 90.00 90.00 90.00
Element x y z (fractional)
1 Y 0.000 0.500 0.000
2 Y 0.500 0.000 0.000
3 Pb 0.000 0.000 0.500

As for the density of states at the Fermi level: 1.16 states/eV per atom. Its formation energy is -0.140 eV/atom. Its total magnetization is 0.824 μB/f.u.

=====

## Y3Pb (PBE-GGA)

Data for crystalline Y3Pb at its relaxed geometry.

abc: 6.297 6.297 6.297
angles: 136.15 136.15 63.74
Element x y z (fractional)
1 Y 0.000 0.000 0.000
2 Y 0.250 0.750 0.500
3 Y 0.750 0.250 0.500
4 Pb 0.500 0.500 0.000

As for the density of states at the Fermi level: 1.06 states/eV per atom. Its formation energy is -0.283 eV/atom. Its total magnetization is 0.000 μB/f.u.

=====

## Y5Pb (PBE-GGA)

Data for crystalline Y5Pb at its relaxed geometry.

abc: 6.455 6.455 5.850
angles: 90.00 90.00 120.00
Element x y z (fractional)
1 Y 0.000 0.500 0.000
2 Y 0.333 0.667 0.500
3 Y 0.500 0.000 0.000
4 Y 0.500 0.500 0.000
5 Y 0.667 0.333 0.500
6 Pb 0.000 0.000 0.500

As for the density of states at the Fermi level: 1.89 states/eV per atom. Its formation energy is 0.405 eV/atom. Its total magnetization is 0.794 μB/f.u.